Entry from Alexandria via LeMat-Bulk: an optimized crystal structure of CdIn2Ge2 (PBE).

Output
DFT total energy ... -12.21 eV/f.u.
Crystal system ... tetragonal
Magnetization ... 0.00 μB/f.u.
Polymorph energy (0 for the lowest one) ... 0.5299 eV per atom

Unit cell a=5.2696 b=5.2696 c=5.7044 alpha=90.00 beta=90.00 gamma=90.00
Last column: nearest neighbours and their distance in Å.
Space group P4/mmm (No. 123)
Unique sites:
Cd 0.0000 0.0000 0.0000  4 In 3.73, 8 Ge 3.88
In 0.5000 0.5000 0.0000  2 In 2.85
In 0.5000 0.5000 0.5000  4 Ge 2.63, 2 In 2.85
Ge 0.0000 0.5000 0.5000  2 In 2.63